YCoF2 (PBE with a Hubbard U, optimized geometry); ΔE to the lowest computed polymorph = 0.000 eV/atom; symmetry = No. 122
1.0
-3.741 1.930 0.549
-2.005 -3.641 -0.864
-2.736 -2.663 7.139
Y Co F
2 2 4
direct
0.000 0.000 0.000
0.750 0.250 0.500
0.500 0.500 0.000
0.250 0.750 0.500
0.693 0.125 0.250
0.057 0.625 0.250
0.375 0.307 0.750
0.875 0.943 0.750